This record from Alexandria via LeMat-Bulk describes a PBEsol-optimized structure of YTe. The functional is meta-GGA SCAN.

**Density of states at the Fermi level**: 0.92 states/eV/f.u.
**ΔE_f (raw)**: -1.47 eV per atom
**VASP energy**: -136.08 eV/cell
**Space-group type**: P4/nmm, No. 129

Cell lengths 4.205, 4.205, 6.294 Å; angles 90.00, 90.00, 90.00 degrees
Atoms (fractional coordinates):
Y 0.500 0.000 0.308
Te 0.000 0.500 0.206
Y 0.000 0.500 0.692
Te 0.500 0.000 0.794


This record from Alexandria via LeMat-Bulk describes a PBEsol-optimized structure of KMg2Pb2. The functional is meta-GGA SCAN.

**Density of states at the Fermi level**: 1.34 states/eV/f.u.
**VASP energy**: -171.39 eV/cell
**Space-group type**: I4/mmm, No. 139
**Formation energy**: -29.9 kJ per mole of atoms

Cell lengths 4.899, 4.899, 7.252 Å; angles 109.74, 109.74, 90.00 degrees
Atoms (fractional coordinates):
Pb 0.383 0.383 0.766
Pb 0.617 0.617 0.234
Mg 0.750 0.250 0.500
K 0.000 0.000 0.000
Mg 0.250 0.750 0.500


This record from Alexandria via LeMat-Bulk describes a PBEsol-optimized structure of Sb2AsPb. The functional is meta-GGA SCAN.

**Density of states at the Fermi level**: 2.02 states/eV/f.u.
**ΔE_f (raw)**: 0.05 eV per atom
**VASP energy**: -170.29 eV/cell
**Space-group type**: R3m, No. 160

Cell lengths 4.255, 4.255, 7.359 Å; angles 73.20, 73.20, 60.00 degrees
Atoms (fractional coordinates):
Sb 0.754 0.754 0.737
As 0.498 0.498 0.506
Pb 0.242 0.242 0.274
Sb 0.005 0.005 0.984


This record from Alexandria via LeMat-Bulk describes a PBEsol-optimized structure of In2CoNi. The functional is meta-GGA SCAN.

**Density of states at the Fermi level**: 1.92 states/eV/f.u.
**VASP energy**: -99.14 eV/cell
**Space-group type**: C2/m, No. 12
**Formation energy**: 26.8 kJ per mole of atoms

Cell lengths 3.039, 4.348, 5.172 Å; angles 102.03, 90.00, 110.45 degrees
Atoms (fractional coordinates):
Co 0.000 0.000 0.500
In 0.750 0.499 0.749
In 0.250 0.501 0.251
Ni 0.500 0.000 0.000


This record from Alexandria via LeMat-Bulk describes a PBEsol-optimized structure of KLi2GeP. The functional is meta-GGA SCAN.

**Density of states at the Fermi level**: 2.01 states/eV/f.u.
**VASP energy**: -37.93 eV/cell
**Space-group type**: P4/mmm, No. 123
**Formation energy**: 90.0 kJ per mole of atoms

Cell lengths 4.729, 4.729, 5.373 Å; angles 90.00, 90.00, 90.00 degrees
Atoms (fractional coordinates):
P 0.000 0.000 0.500
Li 0.000 0.500 0.000
Ge 0.500 0.500 0.500
K 0.000 0.000 0.000
Li 0.500 0.000 0.000


This record from Alexandria via LeMat-Bulk describes a PBEsol-optimized structure of SrCoIr2. The functional is meta-GGA SCAN.

**Density of states at the Fermi level**: 3.36 states/eV/f.u.
**VASP energy**: -179.99 eV/cell
**Space-group type**: Imm2, No. 44
**Formation energy**: 43.2 kJ per mole of atoms

Cell lengths 2.814, 4.889, 5.710 Å; angles 115.35, 104.27, 90.00 degrees
Atoms (fractional coordinates):
Sr 0.503 0.503 0.006
Ir 0.994 0.994 0.988
Ir 0.717 0.217 0.434
Co 0.285 0.785 0.571


This record from Alexandria via LeMat-Bulk describes a PBEsol-optimized structure of Li2TaSb. The functional is meta-GGA SCAN.

**Density of states at the Fermi level**: 1.51 states/eV/f.u.
**ΔE_f (raw)**: 0.13 eV per atom
**VASP energy**: -108.10 eV/cell
**Space-group type**: C2/m, No. 12

Cell lengths 2.912, 4.992, 5.754 Å; angles 114.11, 102.11, 95.72 degrees
Atoms (fractional coordinates):
Li 0.500 0.500 0.500
Sb 0.500 0.000 0.000
Li 0.000 0.000 0.500
Ta 0.000 0.500 0.000


This record from Alexandria via LeMat-Bulk describes a PBEsol-optimized structure of MgSc2Ta. The functional is meta-GGA SCAN.

**Density of states at the Fermi level**: 4.08 states/eV/f.u.
**VASP energy**: -99.08 eV/cell
**Space-group type**: C2/m, No. 12
**Formation energy**: 22.8 kJ per mole of atoms

Cell lengths 3.007, 5.276, 5.551 Å; angles 99.72, 90.00, 106.56 degrees
Atoms (fractional coordinates):
Sc 0.745 0.490 0.734
Sc 0.255 0.510 0.266
Mg 0.500 0.000 0.000
Ta 0.000 0.000 0.500